First-principles (PBE with a Hubbard U) data for a geometry-optimized NaEuDyWO6 structure, as listed in Alexandria.

Results
For the raw total energy, the calculation gives -7.91 eV/atom.

Geometry as CIF:
```
data_NaEuDyWO6
_chemical_formula_sum 'Na4 Eu4 Dy4 W4 O24'
_cell_length_a 8.328
_cell_length_b 8.328
_cell_length_c 8.328
_cell_angle_alpha 90.00
_cell_angle_beta 90.00
_cell_angle_gamma 90.00
_symmetry_space_group_name_H-M 'F -4 3 m'
_symmetry_Int_Tables_number 216
_symmetry_space_group_name_Hall 'F -4 2 3'
loop_
_atom_site_label
_atom_site_type_symbol
_atom_site_fract_x
_atom_site_fract_y
_atom_site_fract_z
Na1 Na 0.000 0.000 0.000
Eu1 Eu 0.000 0.000 0.500
Dy1 Dy 0.250 0.250 0.250
W1 W 0.250 0.250 0.750
O1 O 0.016 0.250 0.750
```